Version one
SrMgF3: optimized geometry, PBE-GGA.

Lattice parameters (Å, degrees): 4.721 4.721 4.721 90.00 90.00 90.00
Fractional positions:
1 Sr 0.000 0.000 0.000
2 Mg 0.500 0.500 0.500
3 F 0.000 0.500 0.000
4 F 0.000 0.000 0.500
5 F 0.500 0.000 0.000

Summary:
DOS(E_F) = 2.3 states/eV/f.u.
Symmetry = Pm-3m, No. 221
Total moment = 0.0 μB per cell


Version two
SrMgF3: optimized geometry, PBE-GGA.

Lattice parameters (Å, degrees): 4.240 4.240 4.240 90.00 90.00 90.00
Fractional positions:
1 Sr 0.500 0.500 0.500
2 Mg 0.000 0.000 0.000
3 F 0.000 0.500 0.000
4 F 0.000 0.000 0.500
5 F 0.500 0.000 0.000

Summary:
DOS(E_F) = 1.5 states/eV/f.u.
Symmetry = Pm-3m, No. 221
Total moment = 0.0 μB per cell


Which one sits at the top of the stability order? version two does.


Version one
SrMgF2: optimized geometry, PBE-GGA.

Lattice parameters (Å, degrees): 6.965 6.965 6.965 30.75 30.75 30.75
Fractional positions:
1 Sr 0.000 0.000 0.000
2 Mg 0.500 0.500 0.500
3 F 0.874 0.874 0.874
4 F 0.126 0.126 0.126

Summary:
DOS(E_F) = 1.2 states/eV/f.u.
Symmetry = R-3m, No. 166
Total moment = 0.0 μB per cell


Version two
SrMgF2: optimized geometry, PBE-GGA.

Lattice parameters (Å, degrees): 6.369 6.369 6.369 36.88 36.88 36.88
Fractional positions:
1 Sr 0.500 0.500 0.500
2 Mg 0.000 0.000 0.000
3 F 0.883 0.883 0.883
4 F 0.117 0.117 0.117

Summary:
DOS(E_F) = 0.0 states/eV/f.u.
Symmetry = R-3m, No. 166
Total moment = 0.0 μB per cell


Which one sits at the top of the stability order? version two does.